No. 1
! Pr3HoP4 PBE optimized geometry; values from VASP
! Final energy   -6.596 eV/atom
! V   202 Å³/cell
! Fermi-level density of states   0.60 states/eV/cell
&SYSTEM
  ibrav = 0, nat = 8, ntyp = 3
/
ATOMIC_SPECIES
Pr 140.91 Pr.upf
Ho 164.93 Ho.upf
P 30.97 P.upf
CELL_PARAMETERS angstrom
4.151 -5.869 0.000
4.151 5.869 0.000
0.000 0.000 4.155
ATOMIC_POSITIONS crystal
Pr 0.000 0.000 0.000
Pr 0.000 0.500 0.500
Pr 0.500 0.000 0.500
Ho 0.500 0.500 0.000
P 0.254 0.746 0.000
P 0.259 0.259 0.500
P 0.741 0.741 0.500
P 0.746 0.254 0.000

No. 2
! YGeRh2 PBE optimized geometry; values from VASP
! Final energy   -7.145 eV/atom
! V   68 Å³/cell
! Fermi-level density of states   1.40 states/eV/cell
&SYSTEM
  ibrav = 0, nat = 4, ntyp = 3
/
ATOMIC_SPECIES
Y 88.91 Y.upf
Ge 72.64 Ge.upf
Rh 102.91 Rh.upf
CELL_PARAMETERS angstrom
4.320 0.000 0.000
0.000 4.320 0.000
0.000 0.000 3.656
ATOMIC_POSITIONS crystal
Y 0.000 0.000 0.000
Ge 0.500 0.500 0.000
Rh 0.000 0.500 0.500
Rh 0.500 0.000 0.500

No. 3
! ZnCo3Pt12 PBE optimized geometry; values from VASP
! Final energy   -6.081 eV/atom
! V   237 Å³/cell
! Fermi-level density of states   22.83 states/eV/cell
&SYSTEM
  ibrav = 0, nat = 16, ntyp = 3
/
ATOMIC_SPECIES
Zn 65.41 Zn.upf
Co 58.93 Co.upf
Pt 195.08 Pt.upf
CELL_PARAMETERS angstrom
3.896 0.000 0.000
0.000 3.896 0.000
0.000 0.000 15.611
ATOMIC_POSITIONS crystal
Zn 0.000 0.000 0.000
Co 0.000 0.000 0.251
Co 0.000 0.000 0.500
Co 0.000 0.000 0.749
Pt 0.000 0.500 0.128
Pt 0.000 0.500 0.376
Pt 0.000 0.500 0.624
Pt 0.000 0.500 0.872
Pt 0.500 0.000 0.128
Pt 0.500 0.000 0.376
Pt 0.500 0.000 0.624
Pt 0.500 0.000 0.872
Pt 0.500 0.500 0.000
Pt 0.500 0.500 0.252
Pt 0.500 0.500 0.500
Pt 0.500 0.500 0.748

No. 4
! Th7Au3 PBE optimized geometry; values from VASP
! Final energy   -6.538 eV/atom
! V   594 Å³/cell
! Fermi-level density of states   20.99 states/eV/cell
&SYSTEM
  ibrav = 0, nat = 20, ntyp = 2
/
ATOMIC_SPECIES
Th 232.04 Th.upf
Au 196.97 Au.upf
CELL_PARAMETERS angstrom
10.227 0.000 0.000
-5.114 8.857 0.000
0.000 0.000 6.553
ATOMIC_POSITIONS crystal
Th 0.080 0.540 0.000
Th 0.127 0.253 0.730
Th 0.127 0.873 0.730
Th 0.253 0.127 0.230
Th 0.333 0.667 0.590
Th 0.460 0.540 0.000
Th 0.460 0.920 0.000
Th 0.540 0.080 0.500
Th 0.540 0.460 0.500
Th 0.667 0.333 0.090
Th 0.747 0.873 0.730
Th 0.873 0.127 0.230
Th 0.873 0.747 0.230
Th 0.920 0.460 0.500
Au 0.192 0.385 0.297
Au 0.192 0.808 0.297
Au 0.385 0.192 0.797
Au 0.615 0.808 0.297
Au 0.808 0.192 0.797
Au 0.808 0.615 0.797

No. 5
! YTmGaPb PBE optimized geometry; values from VASP
! Final energy   -4.833 eV/atom
! V   102 Å³/cell
! Fermi-level density of states   3.22 states/eV/cell
&SYSTEM
  ibrav = 0, nat = 4, ntyp = 4
/
ATOMIC_SPECIES
Y 88.91 Y.upf
Tm 168.93 Tm.upf
Ga 69.72 Ga.upf
Pb 207.20 Pb.upf
CELL_PARAMETERS angstrom
0.000 3.712 3.712
3.712 0.000 3.712
3.712 3.712 0.000
ATOMIC_POSITIONS crystal
Y 0.000 0.000 0.000
Tm 0.500 0.500 0.500
Ga 0.750 0.750 0.750
Pb 0.250 0.250 0.250

No. 6
! SrCaTi2Ge2O10 PBE optimized geometry; values from VASP
! V   413 Å³/cell
! Fermi-level density of states   0.00 states/eV/cell
! ΔE_f (raw)   -41.79 eV per formula unit
&SYSTEM
  ibrav = 0, nat = 32, ntyp = 5
/
ATOMIC_SPECIES
Sr 87.62 Sr.upf
Ca 40.08 Ca.upf
Ti 47.87 Ti.upf
Ge 72.64 Ge.upf
O 16.00 O.upf
CELL_PARAMETERS angstrom
6.833 0.000 0.000
0.000 9.063 0.000
-2.992 0.000 6.670
ATOMIC_POSITIONS crystal
Sr 0.248 0.000 0.007
Sr 0.752 0.500 0.993
Ca 0.249 0.348 0.502
Ca 0.751 0.848 0.498
Ti 0.245 0.675 0.761
Ti 0.256 0.669 0.268
Ti 0.744 0.169 0.732
Ti 0.755 0.175 0.239
Ge 0.251 0.357 0.001
Ge 0.251 0.989 0.503
Ge 0.749 0.489 0.497
Ge 0.749 0.857 0.999
O 0.049 0.238 0.838
O 0.065 0.115 0.334
O 0.141 0.880 0.640
O 0.161 0.462 0.157
O 0.250 0.729 0.999
O 0.251 0.606 0.500
O 0.341 0.463 0.846
O 0.361 0.878 0.367
O 0.438 0.117 0.668
O 0.451 0.237 0.165
O 0.549 0.737 0.835
O 0.562 0.617 0.332
O 0.639 0.378 0.633
O 0.659 0.963 0.154
O 0.749 0.106 0.500
O 0.750 0.229 0.001
O 0.839 0.962 0.843
O 0.859 0.380 0.360
O 0.935 0.615 0.666
O 0.951 0.738 0.162

No. 7
! CsRb9Na3 PBE optimized geometry; values from VASP
! Final energy   -1.010 eV/atom
! V   1031 Å³/cell
! Fermi-level density of states   10.07 states/eV/cell
&SYSTEM
  ibrav = 0, nat = 13, ntyp = 3
/
ATOMIC_SPECIES
Cs 132.91 Cs.upf
Rb 85.47 Rb.upf
Na 22.99 Na.upf
CELL_PARAMETERS angstrom
4.265 -11.189 0.000
4.265 11.189 0.000
-4.011 0.000 10.807
ATOMIC_POSITIONS crystal
Cs 0.000 0.000 0.000
Rb 0.000 0.000 0.500
Rb 0.016 0.660 0.667
Rb 0.305 0.523 0.790
Rb 0.340 0.984 0.333
Rb 0.477 0.695 0.210
Rb 0.523 0.305 0.790
Rb 0.660 0.016 0.667
Rb 0.695 0.477 0.210
Rb 0.984 0.340 0.333
Na 0.000 0.500 0.000
Na 0.500 0.000 0.000
Na 0.500 0.500 0.500

No. 8
! BaTcMo2 PBE optimized geometry; values from VASP
! Energy above the lowest structure with this stoichiometry   89 meV per atom
! V   97 Å³/cell
! Fermi-level density of states   5.18 states/eV/cell
&SYSTEM
  ibrav = 0, nat = 4, ntyp = 3
/
ATOMIC_SPECIES
Ba 137.33 Ba.upf
Tc 98.00 Tc.upf
Mo 95.94 Mo.upf
CELL_PARAMETERS angstrom
4.761 -1.671 0.000
4.761 1.671 0.000
-1.616 0.000 6.076
ATOMIC_POSITIONS crystal
Ba 0.000 0.000 0.000
Tc 0.500 0.500 0.500
Mo 0.207 0.207 0.618
Mo 0.793 0.793 0.382

No. 9
! La4Dy4Al PBE optimized geometry; values from VASP
! Final energy   -4.421 eV/atom
! V   305 Å³/cell
! Fermi-level density of states   13.24 states/eV/cell
&SYSTEM
  ibrav = 0, nat = 9, ntyp = 3
/
ATOMIC_SPECIES
La 138.91 La.upf
Dy 162.50 Dy.upf
Al 26.98 Al.upf
CELL_PARAMETERS angstrom
-3.189 4.265 5.616
3.189 -4.265 5.616
3.189 4.265 -5.616
ATOMIC_POSITIONS crystal
La 0.000 0.000 0.000
La 0.333 0.500 0.833
La 0.500 0.000 0.500
La 0.667 0.500 0.167
Dy 0.103 0.957 0.577
Dy 0.381 0.526 0.423
Dy 0.619 0.043 0.145
Dy 0.897 0.474 0.855
Al 0.000 0.500 0.500

No. 10
! BeZn2Ru PBE optimized geometry; values from VASP
! Final energy   -3.815 eV/atom
! V   52 Å³/cell
! Fermi-level density of states   2.10 states/eV/cell
&SYSTEM
  ibrav = 0, nat = 4, ntyp = 3
/
ATOMIC_SPECIES
Be 9.01 Be.upf
Zn 65.41 Zn.upf
Ru 101.07 Ru.upf
CELL_PARAMETERS angstrom
2.492 -4.361 0.000
2.492 4.361 0.000
-1.152 0.000 2.394
ATOMIC_POSITIONS crystal
Be 0.000 0.000 0.000
Zn 0.000 0.500 0.500
Zn 0.500 0.000 0.500
Ru 0.500 0.500 0.000

No. 11
! La2CuHgN PBE optimized geometry; values from VASP
! Energy above the lowest structure with this stoichiometry   0 meV per atom
! V   110 Å³/cell
! Fermi-level density of states   2.06 states/eV/cell
! ΔE_f (raw)   -2.96 eV per formula unit
&SYSTEM
  ibrav = 0, nat = 5, ntyp = 4
/
ATOMIC_SPECIES
La 138.91 La.upf
Cu 63.55 Cu.upf
Hg 200.59 Hg.upf
N 14.01 N.upf
CELL_PARAMETERS angstrom
5.267 0.000 0.000
0.000 5.267 0.000
0.000 0.000 3.953
ATOMIC_POSITIONS crystal
La 0.000 0.500 0.000
La 0.500 0.000 0.000
Cu 0.000 0.000 0.500
Hg 0.500 0.500 0.500
N 0.000 0.000 0.000

No. 12
! Sc2AlPt PBE optimized geometry; values from VASP
! Final energy   -6.465 eV/atom
! V   74 Å³/cell
! Fermi-level density of states   1.31 states/eV/cell
&SYSTEM
  ibrav = 0, nat = 4, ntyp = 3
/
ATOMIC_SPECIES
Sc 44.96 Sc.upf
Al 26.98 Al.upf
Pt 195.08 Pt.upf
CELL_PARAMETERS angstrom
3.313 0.000 0.000
0.000 4.634 0.000
0.000 0.000 4.848
ATOMIC_POSITIONS crystal
Sc 0.000 0.000 0.000
Sc 0.000 0.500 0.432
Al 0.500 0.500 0.910
Pt 0.500 0.000 0.541

No. 13
! YBeI2 PBE optimized geometry; values from VASP
! Energy above the lowest structure with this stoichiometry   221 meV per atom
! V   251 Å³/cell
! Fermi-level density of states   9.97 states/eV/cell
! ΔE_f (raw)   1.04 eV per formula unit
&SYSTEM
  ibrav = 0, nat = 8, ntyp = 3
/
ATOMIC_SPECIES
Y 88.91 Y.upf
Be 9.01 Be.upf
I 126.90 I.upf
CELL_PARAMETERS angstrom
-3.263 3.263 5.899
3.263 -3.263 5.899
3.263 3.263 -5.899
ATOMIC_POSITIONS crystal
Y 0.000 0.000 0.000
Y 0.750 0.250 0.500
Be 0.250 0.750 0.500
Be 0.500 0.500 0.000
I 0.197 0.625 0.072
I 0.375 0.447 0.572
I 0.553 0.125 0.928
I 0.875 0.803 0.428

No. 14
! ZrGaCuPt PBE optimized geometry; values from VASP
! Final energy   -6.066 eV/atom
! V   65 Å³/cell
! Fermi-level density of states   1.91 states/eV/cell
&SYSTEM
  ibrav = 0, nat = 4, ntyp = 4
/
ATOMIC_SPECIES
Zr 91.22 Zr.upf
Ga 69.72 Ga.upf
Cu 63.55 Cu.upf
Pt 195.08 Pt.upf
CELL_PARAMETERS angstrom
0.000 3.195 3.195
3.195 0.000 3.195
3.195 3.195 0.000
ATOMIC_POSITIONS crystal
Zr 0.000 0.000 0.000
Ga 0.500 0.500 0.500
Cu 0.750 0.750 0.750
Pt 0.250 0.250 0.250

No. 15
! TbWC2 PBE optimized geometry; values from VASP
! Energy above the lowest structure with this stoichiometry   220 meV per atom
! V   240 Å³/cell
! Fermi-level density of states   6.88 states/eV/cell
&SYSTEM
  ibrav = 0, nat = 16, ntyp = 3
/
ATOMIC_SPECIES
Tb 158.93 Tb.upf
W 183.84 W.upf
C 12.01 C.upf
CELL_PARAMETERS angstrom
5.299 0.000 0.000
0.000 3.424 0.000
0.000 0.000 13.247
ATOMIC_POSITIONS crystal
Tb 0.239 0.250 0.070
Tb 0.261 0.750 0.570
Tb 0.739 0.250 0.430
Tb 0.761 0.750 0.930
W 0.215 0.750 0.329
W 0.285 0.250 0.829
W 0.715 0.750 0.171
W 0.785 0.250 0.671
C 0.148 0.250 0.690
C 0.249 0.750 0.918
C 0.251 0.250 0.418
C 0.352 0.750 0.190
C 0.648 0.250 0.810
C 0.749 0.750 0.582
C 0.751 0.250 0.082
C 0.852 0.750 0.310

No. 16
! InHRh4Pb PBE optimized geometry; values from VASP
! Final energy   -5.661 eV/atom
! V   216 Å³/cell
! Fermi-level density of states   16.10 states/eV/cell
&SYSTEM
  ibrav = 0, nat = 14, ntyp = 4
/
ATOMIC_SPECIES
In 114.82 In.upf
H 1.01 H.upf
Rh 102.91 Rh.upf
Pb 207.20 Pb.upf
CELL_PARAMETERS angstrom
2.806 -6.805 0.000
2.806 6.805 0.000
0.000 0.000 5.647
ATOMIC_POSITIONS crystal
In 0.103 0.897 0.750
In 0.897 0.103 0.250
H 0.245 0.755 0.250
H 0.755 0.245 0.750
Rh 0.000 0.500 0.000
Rh 0.000 0.500 0.500
Rh 0.095 0.905 0.250
Rh 0.400 0.600 0.250
Rh 0.500 0.000 0.000
Rh 0.500 0.000 0.500
Rh 0.600 0.400 0.750
Rh 0.905 0.095 0.750
Pb 0.400 0.600 0.750
Pb 0.600 0.400 0.250

No. 17
! PdWI PBE optimized geometry; values from VASP
! V   121 Å³/cell
! Fermi-level density of states   4.38 states/eV/cell
! ΔE_f (raw)   2.40 eV per formula unit
&SYSTEM
  ibrav = 0, nat = 6, ntyp = 3
/
ATOMIC_SPECIES
Pd 106.42 Pd.upf
W 183.84 W.upf
I 126.90 I.upf
CELL_PARAMETERS angstrom
13.253 0.000 0.000
0.000 1.628 2.810
0.000 -1.628 2.810
ATOMIC_POSITIONS crystal
Pd 0.000 0.000 0.000
Pd 0.500 0.116 0.116
W 0.153 0.333 0.333
W 0.847 0.333 0.333
I 0.303 0.002 0.002
I 0.697 0.002 0.002

No. 18
! GaAs2Ru PBE optimized geometry; values from VASP
! Final energy   -5.379 eV/atom
! V   181 Å³/cell
! Fermi-level density of states   5.03 states/eV/cell
&SYSTEM
  ibrav = 0, nat = 8, ntyp = 3
/
ATOMIC_SPECIES
Ga 69.72 Ga.upf
As 74.92 As.upf
Ru 101.07 Ru.upf
CELL_PARAMETERS angstrom
-2.857 2.857 5.546
2.857 -2.857 5.546
2.857 2.857 -5.546
ATOMIC_POSITIONS crystal
Ga 0.000 0.000 0.000
Ga 0.750 0.250 0.500
As 0.149 0.625 0.024
As 0.375 0.399 0.524
As 0.601 0.125 0.976
As 0.875 0.851 0.476
Ru 0.250 0.750 0.500
Ru 0.500 0.500 0.000

No. 19
! Li3Pm2NdS6 PBE optimized geometry; values from VASP
! V   263 Å³/cell
! Fermi-level density of states   0.00 states/eV/cell
! ΔE_f (raw)   -21.49 eV per formula unit
&SYSTEM
  ibrav = 0, nat = 12, ntyp = 4
/
ATOMIC_SPECIES
Li 6.94 Li.upf
Pm 145.00 Pm.upf
Nd 144.24 Nd.upf
S 32.06 S.upf
CELL_PARAMETERS angstrom
3.498 -6.061 0.000
3.498 6.061 0.000
-2.328 0.000 6.207
ATOMIC_POSITIONS crystal
Li 0.000 0.000 0.000
Li 0.332 0.668 0.000
Li 0.668 0.332 0.000
Pm 0.167 0.833 0.500
Pm 0.833 0.167 0.500
Nd 0.500 0.500 0.500
S 0.080 0.415 0.244
S 0.250 0.250 0.756
S 0.415 0.080 0.244
S 0.585 0.920 0.756
S 0.750 0.750 0.244
S 0.920 0.585 0.756

No. 20
! TiGe3Au PBE optimized geometry; values from VASP
! Energy above the lowest structure with this stoichiometry   0 meV per atom
! V   118 Å³/cell
! Fermi-level density of states   4.19 states/eV/cell
&SYSTEM
  ibrav = 0, nat = 5, ntyp = 3
/
ATOMIC_SPECIES
Ti 47.87 Ti.upf
Ge 72.64 Ge.upf
Au 196.97 Au.upf
CELL_PARAMETERS angstrom
4.911 0.000 0.000
0.000 4.911 0.000
0.000 0.000 4.911
ATOMIC_POSITIONS crystal
Ti 0.000 0.000 0.000
Ge 0.000 0.000 0.500
Ge 0.000 0.500 0.000
Ge 0.500 0.000 0.000
Au 0.500 0.500 0.500

No. 21
! K2CdSb2 PBE optimized geometry; values from VASP
! Energy above the lowest structure with this stoichiometry   201 meV per atom
! V   398 Å³/cell
! Fermi-level density of states   10.33 states/eV/cell
! ΔE_f (raw)   -0.93 eV per formula unit
&SYSTEM
  ibrav = 0, nat = 10, ntyp = 3
/
ATOMIC_SPECIES
K 39.10 K.upf
Cd 112.41 Cd.upf
Sb 121.76 Sb.upf
CELL_PARAMETERS angstrom
-3.802 7.399 3.538
3.802 -7.399 3.538
3.802 7.399 -3.538
ATOMIC_POSITIONS crystal
K 0.144 0.185 0.329
K 0.356 0.685 0.041
K 0.644 0.315 0.959
K 0.856 0.815 0.671
Cd 0.250 0.750 0.500
Cd 0.750 0.250 0.500
Sb 0.110 0.707 0.817
Sb 0.390 0.207 0.597
Sb 0.610 0.793 0.403
Sb 0.890 0.293 0.183

No. 22
! TbPrIr2 PBE optimized geometry; values from VASP
! Energy above the lowest structure with this stoichiometry   46 meV per atom
! V   86 Å³/cell
! Fermi-level density of states   1.31 states/eV/cell
&SYSTEM
  ibrav = 0, nat = 4, ntyp = 3
/
ATOMIC_SPECIES
Tb 158.93 Tb.upf
Pr 140.91 Pr.upf
Ir 192.22 Ir.upf
CELL_PARAMETERS angstrom
4.868 0.000 0.000
0.000 4.868 0.000
0.000 0.000 3.650
ATOMIC_POSITIONS crystal
Tb 0.000 0.000 0.000
Pr 0.500 0.500 0.000
Ir 0.000 0.500 0.500
Ir 0.500 0.000 0.500